No. 1
The following is a PBE-GGA calculation of Ac2Ga after structural relaxation, from Alexandria via LeMat-Bulk.

abc: 7.6176 7.6557 7.5197
angles: 90.00 90.00 90.00
Space group Ibam (No. 72)
Asymmetric unit:
Ac 0.1794 0.1806 0.0000 (multiplicity 8)
Ga 0.0000 0.5000 0.2500 (multiplicity 4)

Summary:
- Relative energy among the computed polymorphs: 5 meV/atom
- Energy of formation: -0.27 eV per atom
- Density of states at the Fermi level: 4.15 states/eV/f.u.

No. 2
The following is a PBE-GGA calculation of Tb3PmDy2Bi6 after structural relaxation, from Alexandria via LeMat-Bulk.

abc: 19.6166 4.5015 9.0032
angles: 90.00 103.23 90.00
Space group C2/m (No. 12)
Asymmetric unit:
Tb 0.0000 0.0000 0.0000 (multiplicity 2)
Tb 0.1657 0.5000 0.3328 (multiplicity 4)
Pm 0.0000 0.0000 0.5000 (multiplicity 2)
Dy 0.1672 0.5000 0.8337 (multiplicity 4)
Bi 0.0009 0.5000 0.7544 (multiplicity 4)
Bi 0.1668 0.0000 0.0826 (multiplicity 4)
Bi 0.1684 0.0000 0.5851 (multiplicity 4)

Summary:
- Energy of formation: -0.88 eV per atom
- Density of states at the Fermi level: 2.01 states/eV/f.u.

No. 3
The following is a PBE-GGA calculation of ScAl2As after structural relaxation, from Alexandria via LeMat-Bulk.

abc: 3.6522 3.6522 5.5892
angles: 90.00 90.00 90.00
Space group P4mm (No. 99)
Asymmetric unit:
Sc 0.0000 0.0000 0.0000 (multiplicity 1)
Al 0.0000 0.0000 0.5011 (multiplicity 1)
Al 0.5000 0.5000 0.2837 (multiplicity 1)
As 0.5000 0.5000 0.7964 (multiplicity 1)

Summary:
- Energy of formation: -0.38 eV per atom
- Density of states at the Fermi level: 2.46 states/eV/f.u.

No. 4
The following is a PBE-GGA calculation of KRb2NF after structural relaxation, from Alexandria via LeMat-Bulk.

abc: 5.2159 5.2159 9.9929
angles: 90.00 90.00 90.00
Space group P4/mmm (No. 123)
Asymmetric unit:
K 0.0000 0.0000 0.0000 (multiplicity 1)
Rb 0.0000 0.5000 0.5000 (multiplicity 2)
N 0.5000 0.5000 0.5000 (multiplicity 1)
F 0.5000 0.5000 0.0000 (multiplicity 1)

Summary:
- Relative energy among the computed polymorphs: 0 meV/atom
- Raw formation energy: -0.05 eV/atom
- Density of states at the Fermi level: 3.52 states/eV/f.u.

No. 5
The following is a PBE-GGA calculation of LaPu5As6 after structural relaxation, from Alexandria via LeMat-Bulk.

abc: 7.2377 12.5315 7.2406
angles: 90.00 109.53 90.00
Space group C2/m (No. 12)
Asymmetric unit:
La 0.0000 0.0000 0.0000 (multiplicity 2)
Pu 0.0000 0.1636 0.5000 (multiplicity 4)
Pu 0.0000 0.3332 0.0000 (multiplicity 4)
Pu 0.0000 0.5000 0.5000 (multiplicity 2)
As 0.2424 0.5000 0.2534 (multiplicity 4)
As 0.2439 0.3277 0.7445 (multiplicity 8)

Summary:
- Energy of formation: -1.07 eV per atom
- Density of states at the Fermi level: 55.02 states/eV/f.u.

No. 6
The following is a PBE-GGA calculation of PmPr3Ho6Th2 after structural relaxation, from Alexandria via LeMat-Bulk.

abc: 6.2428 10.8081 11.7800
angles: 90.00 100.20 90.00
Space group C2/m (No. 12)
Asymmetric unit:
Pm 0.0000 0.0000 0.0000 (multiplicity 2)
Pr 0.0000 0.1662 0.5000 (multiplicity 4)
Pr 0.0000 0.5000 0.5000 (multiplicity 2)
Ho 0.2436 0.5000 0.2448 (multiplicity 4)
Ho 0.2491 0.3308 0.7555 (multiplicity 8)
Th 0.0000 0.3335 0.0000 (multiplicity 4)

Summary:
- Energy of formation: 0.02 eV per atom
- Density of states at the Fermi level: 15.72 states/eV/f.u.

Repeat the fourth record exactly.
The following is a PBE-GGA calculation of KRb2NF after structural relaxation, from Alexandria via LeMat-Bulk.

abc: 5.2159 5.2159 9.9929
angles: 90.00 90.00 90.00
Space group P4/mmm (No. 123)
Asymmetric unit:
K 0.0000 0.0000 0.0000 (multiplicity 1)
Rb 0.0000 0.5000 0.5000 (multiplicity 2)
N 0.5000 0.5000 0.5000 (multiplicity 1)
F 0.5000 0.5000 0.0000 (multiplicity 1)

Summary:
- Relative energy among the computed polymorphs: 0 meV/atom
- Raw formation energy: -0.05 eV/atom
- Density of states at the Fermi level: 3.52 states/eV/f.u.

Question: density of states at the Fermi level of number 4 (KRb2NF)?
Answer: 3.52 states/eV/f.u.